1.
{
  "formula": "CsSbC6Cl5",
  "functional": "PBE",
  "state": "relaxed",
  "cell": [[7.855, 0.000, 0.000], [0.000, 12.717, 0.000], [0.000, 0.000, 7.964]],
  "species": ["Cs", "Cs", "Sb", "Sb", "C", "C", "C", "C", "C", "C", "C", "C", "C", "C", "C", "C", "Cl", "Cl", "Cl", "Cl", "Cl", "Cl", "Cl", "Cl", "Cl", "Cl"],
  "frac_coords": [[0.000, 0.003, 0.000], [0.500, 0.997, 0.500], [0.000, 0.197, 0.500], [0.500, 0.803, 0.000], [0.000, 0.367, 0.502], [0.000, 0.563, 0.505], [0.134, 0.437, 0.503], [0.166, 0.540, 0.505], [0.334, 0.460, 0.005], [0.366, 0.563, 0.003], [0.500, 0.437, 0.005], [0.500, 0.633, 0.002], [0.634, 0.563, 0.003], [0.666, 0.460, 0.005], [0.834, 0.540, 0.505], [0.866, 0.437, 0.503], [0.000, 0.003, 0.500], [0.220, 0.191, 0.716], [0.220, 0.192, 0.285], [0.280, 0.808, 0.785], [0.280, 0.809, 0.216], [0.500, 0.997, 0.000], [0.720, 0.808, 0.785], [0.720, 0.809, 0.216], [0.780, 0.191, 0.716], [0.780, 0.192, 0.285]],
  "volume_a3_per_cell": 796,
  "raw_formation_energy_mev_per_atom": 230,
  "n_ef_per_ev_cell": 0.55,
  "dft_energy_ev_per_cell": -133.13
}


2.
{
  "formula": "Tc2GePtCl",
  "functional": "PBE",
  "state": "relaxed",
  "cell": [[4.434, 0.000, 0.000], [0.000, 4.434, 0.000], [0.000, 0.000, 4.609]],
  "species": ["Tc", "Tc", "Ge", "Pt", "Cl"],
  "frac_coords": [[0.000, 0.500, 0.000], [0.500, 0.000, 0.000], [0.000, 0.000, 0.500], [0.500, 0.500, 0.500], [0.500, 0.500, 0.000]],
  "volume_a3_per_cell": 91,
  "raw_formation_energy_mev_per_atom": 1233,
  "n_ef_per_ev_cell": 3.38,
  "dft_energy_ev_per_cell": -27.07
}


3.
{
  "formula": "B3PRh",
  "functional": "PBE",
  "state": "relaxed",
  "cell": [[3.828, 0.000, 0.000], [0.000, 3.828, 0.000], [0.000, 0.000, 3.828]],
  "species": ["B", "B", "B", "P", "Rh"],
  "frac_coords": [[0.000, 0.000, 0.500], [0.000, 0.500, 0.000], [0.500, 0.000, 0.000], [0.000, 0.000, 0.000], [0.500, 0.500, 0.500]],
  "formation_enthalpy_0k_ev_per_atom": 1.47,
  "volume_a3_per_cell": 56,
  "n_ef_per_ev_cell": 4.65,
  "dft_energy_ev_per_cell": -25.46
}


4.
{
  "formula": "Pu2CoB2Ru5",
  "functional": "PBE",
  "state": "relaxed",
  "cell": [[9.579, 0.000, 0.000], [0.000, 9.579, 0.000], [0.000, 0.000, 3.054]],
  "species": ["Pu", "Pu", "Pu", "Pu", "Co", "Co", "B", "B", "B", "B", "Ru", "Ru", "Ru", "Ru", "Ru", "Ru", "Ru", "Ru", "Ru", "Ru"],
  "frac_coords": [[0.177, 0.323, 0.000], [0.323, 0.823, 0.000], [0.677, 0.177, 0.000], [0.823, 0.677, 0.000], [0.000, 0.000, 0.000], [0.500, 0.500, 0.000], [0.123, 0.623, 0.000], [0.377, 0.123, 0.000], [0.623, 0.877, 0.000], [0.877, 0.377, 0.000], [0.000, 0.500, 0.500], [0.069, 0.783, 0.500], [0.217, 0.069, 0.500], [0.283, 0.569, 0.500], [0.431, 0.283, 0.500], [0.500, 0.000, 0.500], [0.569, 0.717, 0.500], [0.717, 0.431, 0.500], [0.783, 0.931, 0.500], [0.931, 0.217, 0.500]],
  "formation_enthalpy_0k_ev_per_atom": -0.20,
  "volume_a3_per_cell": 280,
  "n_ef_per_ev_cell": 41.56,
  "dft_energy_ev_per_cell": -195.03
}


5.
{
  "formula": "CsHgRu2O8",
  "functional": "PBE",
  "state": "relaxed",
  "cell": [[2.847, 1.644, 8.616], [-2.847, 1.644, 8.616], [0.000, -3.288, 8.616]],
  "species": ["Cs", "Hg", "Ru", "Ru", "O", "O", "O", "O", "O", "O", "O", "O"],
  "frac_coords": [[0.000, 0.000, 0.000], [0.500, 0.500, 0.500], [0.246, 0.246, 0.246], [0.754, 0.754, 0.754], [0.056, 0.802, 0.477], [0.198, 0.523, 0.944], [0.313, 0.313, 0.313], [0.477, 0.056, 0.802], [0.523, 0.944, 0.198], [0.687, 0.687, 0.687], [0.802, 0.477, 0.056], [0.944, 0.198, 0.523]],
  "volume_a3_per_cell": 242,
  "raw_formation_energy_mev_per_atom": -809,
  "n_ef_per_ev_cell": 7.60,
  "dft_energy_ev_per_cell": -69.08
}


6.
{
  "formula": "Pm6Nd16Er7",
  "functional": "PBE",
  "state": "relaxed",
  "cell": [[0.000, 8.028, 8.028], [8.028, 0.000, 8.028], [8.028, 8.028, 0.000]],
  "species": ["Pm", "Pm", "Pm", "Pm", "Pm", "Pm", "Nd", "Nd", "Nd", "Nd", "Nd", "Nd", "Nd", "Nd", "Nd", "Nd", "Nd", "Nd", "Nd", "Nd", "Nd", "Nd", "Er", "Er", "Er", "Er", "Er", "Er", "Er"],
  "frac_coords": [[0.231, 0.231, 0.769], [0.231, 0.769, 0.231], [0.231, 0.769, 0.769], [0.769, 0.231, 0.231], [0.769, 0.231, 0.769], [0.769, 0.769, 0.231], [0.122, 0.626, 0.626], [0.150, 0.150, 0.150], [0.150, 0.150, 0.550], [0.150, 0.550, 0.150], [0.374, 0.374, 0.374], [0.374, 0.374, 0.878], [0.374, 0.878, 0.374], [0.450, 0.850, 0.850], [0.550, 0.150, 0.150], [0.626, 0.122, 0.626], [0.626, 0.626, 0.122], [0.626, 0.626, 0.626], [0.850, 0.450, 0.850], [0.850, 0.850, 0.450], [0.850, 0.850, 0.850], [0.878, 0.374, 0.374], [0.000, 0.000, 0.500], [0.000, 0.500, 0.000], [0.000, 0.500, 0.500], [0.500, 0.000, 0.000], [0.500, 0.000, 0.500], [0.500, 0.500, 0.000], [0.500, 0.500, 0.500]],
  "formation_enthalpy_0k_ev_per_atom": 0.20,
  "volume_a3_per_cell": 1035,
  "n_ef_per_ev_cell": 41.17,
  "dft_energy_ev_per_cell": -130.88
}


7.
{
  "formula": "RbTaTeO6",
  "functional": "PBE",
  "state": "relaxed",
  "cell": [[5.372, 0.000, 0.000], [-2.686, 4.652, 0.000], [0.000, 0.000, 12.720]],
  "species": ["Rb", "Rb", "Ta", "Ta", "Te", "Te", "O", "O", "O", "O", "O", "O", "O", "O", "O", "O", "O", "O"],
  "frac_coords": [[0.000, 0.000, 0.000], [0.000, 0.000, 0.500], [0.333, 0.667, 0.250], [0.667, 0.333, 0.750], [0.333, 0.667, 0.750], [0.667, 0.333, 0.250], [0.007, 0.398, 0.663], [0.007, 0.609, 0.837], [0.391, 0.398, 0.837], [0.391, 0.993, 0.663], [0.398, 0.007, 0.163], [0.398, 0.391, 0.337], [0.602, 0.609, 0.663], [0.602, 0.993, 0.837], [0.609, 0.007, 0.337], [0.609, 0.602, 0.163], [0.993, 0.391, 0.163], [0.993, 0.602, 0.337]],
  "volume_a3_per_cell": 318,
  "raw_formation_energy_mev_per_atom": -1906,
  "n_ef_per_ev_cell": 0.00,
  "dft_energy_ev_per_cell": -125.72
}


8.
{
  "formula": "CsHS3",
  "functional": "PBE",
  "state": "relaxed",
  "cell": [[5.121, 0.000, 0.000], [-1.839, 6.447, 0.000], [-0.015, -0.009, 10.159]],
  "species": ["Cs", "Cs", "H", "H", "S", "S", "S", "S", "S", "S"],
  "frac_coords": [[0.000, 0.000, 0.000], [0.377, 0.377, 0.500], [0.585, 0.448, 0.134], [0.789, 0.929, 0.634], [0.173, 0.599, 0.211], [0.201, 0.778, 0.710], [0.411, 0.536, 0.058], [0.513, 0.038, 0.752], [0.862, 0.338, 0.251], [0.963, 0.842, 0.557]],
  "volume_a3_per_cell": 335,
  "n_ef_per_ev_cell": 0.00,
  "dft_energy_ev_per_cell": -37.92
}